1.
Below is a geometry-optimized CdCoIr2 structure, with properties calculated at the PBE-GGA level.

abc: 6.236 6.236 6.236
angles: 90.00 90.00 90.00
Space group F-43m (No. 216)
Symmetry-distinct sites (fractional):
Cd 0.000 0.000 0.000 [4 per cell]
Co 0.250 0.250 0.250 [4 per cell]
Ir 0.000 0.000 0.500 [4 per cell]
Ir 0.250 0.250 0.750 [4 per cell]

Calculated values
- magnetization (μB per atom) = 0.711

2.
Below is a geometry-optimized Cd2CoIr structure, with properties calculated at the PBE-GGA level.

abc: 6.361 6.361 6.361
angles: 90.00 90.00 90.00
Space group F-43m (No. 216)
Symmetry-distinct sites (fractional):
Cd 0.000 0.000 0.000 [4 per cell]
Cd 0.250 0.250 0.250 [4 per cell]
Co 0.250 0.250 0.750 [4 per cell]
Ir 0.000 0.000 0.500 [4 per cell]

Calculated values
- magnetization (μB per atom) = 0.538

Q: Which volume values were calculated for the entries above? A: 242.49; 257.44, in Å³/cell.
Q: Which E values were calculated for the entries above? A: -96.0; -65.8, in eV per cell.
Q: Which calculated formation energy values were calculated for the entries above? A: 428; 328, in meV per atom.